DFT (PBEsol) results for an optimized crystal structure of ZrZn2Fe.

Values from the calculation:
* space group: Fm-3m
* VASP energy: -5.357 eV per atom
* M_tot: 0.496 μB per atom

POSCAR file:
```
ZrZn2Fe
1.0
4.375 0.000 0.000
2.188 3.789 0.000
2.188 1.263 3.572
Fe Zn Zr
1 2 1
direct
0.000 0.000 0.000 Fe
0.250 0.250 0.250 Zn
0.750 0.750 0.750 Zn
0.500 0.500 0.500 Zr
```



DFT (PBEsol) results for an optimized crystal structure of Ba2MnAu.

Values from the calculation:
* space group: R-3m
* VASP energy: -4.202 eV per atom
* M_tot: 0.944 μB per atom

POSCAR file:
```
Ba2MnAu
1.0
4.442 0.000 0.000
2.221 3.847 0.000
2.221 1.282 8.423
Au Ba Mn
1 2 1
direct
0.000 0.000 0.000 Au
0.255 0.255 0.235 Ba
0.745 0.745 0.765 Ba
0.500 0.500 0.500 Mn
```



Formation energy from the elements values, unit eV/atom, following the record order: -0.05; 0.29.